Computed, not measured: a geometry-optimized MoI4Cl structure at the PBE level of DFT.

The space group is P-1 (No. 2) and the conventional cell measures 7.047, 7.581 and 10.045 Å, with angles of 110.40, 90.76 and 116.16 degrees. The distinct sites, in fractional coordinates, are Mo at (0.098, 0.205, 0.206), I at (0.072, 0.816, 0.564), I at (0.133, 0.623, 0.857), I at (0.315, 0.000, 0.241), I at (0.447, 0.580, 0.331) and Cl at (0.204, 0.160, 0.960).

The value obtained for the relative energy among the computed polymorphs is 0.000 eV/atom. The value obtained for the energy is -40.54 eV for the cell shown.